(1)
DFT (PBE-GGA) results for Pb2Au2I after structural relaxation.

Unit cell a=8.8075 b=8.8075 c=3.6761 alpha=90.00 beta=90.00 gamma=90.00
Element x y z (fractional)
Pb 0.3122 0.8122 0.0000
Pb 0.8122 0.6878 0.0000
Pb 0.6878 0.1878 0.0000
Pb 0.1878 0.3122 0.0000
I 0.0000 0.0000 0.0000
I 0.5000 0.5000 0.0000
Au 0.1137 0.6137 0.5000
Au 0.6137 0.8863 0.5000
Au 0.8863 0.3863 0.5000
Au 0.3863 0.1137 0.5000

Output
Raw formation energy (eV per atom): -0.047
Mass density (g cm⁻³): 10.892
Energy relative to the lowest polymorph listed for this composition (kJ per mole of atoms): 5.1
E (eV per atom): -3.151


(2)
DFT (PBE-GGA) results for MgIr3N after structural relaxation.

Unit cell a=4.5355 b=4.5355 c=4.5355 alpha=90.00 beta=90.00 gamma=90.00
Element x y z (fractional)
Mg 0.0000 0.0000 0.0000
Ir 0.0000 0.5000 0.0000
Ir 0.0000 0.0000 0.5000
Ir 0.5000 0.0000 0.0000
N 0.5000 0.5000 0.5000

Output
Raw formation energy (eV per atom): 3.023
Mass density (g cm⁻³): 10.945
Energy relative to the lowest polymorph listed for this composition (kJ per mole of atoms): 266.7
E (eV per atom): -4.278


(3)
DFT (PBE-GGA) results for NaPrBi3 after structural relaxation.

Unit cell a=10.8154 b=6.2187 c=10.6463 alpha=90.00 beta=90.00 gamma=90.00
Element x y z (fractional)
Na 0.5000 0.2500 0.1195
Na 0.0000 0.7500 0.8805
Na 0.5000 0.7500 0.8805
Na 0.0000 0.2500 0.1195
Pr 0.7500 0.4988 0.6255
Pr 0.2500 0.5012 0.3745
Pr 0.7500 0.9988 0.3745
Pr 0.2500 0.0012 0.6255
Bi 0.0000 0.2500 0.4737
Bi 0.5000 0.7500 0.5263
Bi 0.0000 0.7500 0.5263
Bi 0.5000 0.2500 0.4737
Bi 0.2500 0.1376 0.9218
Bi 0.7500 0.8624 0.0782
Bi 0.2500 0.6376 0.0782
Bi 0.7500 0.3624 0.9218
Bi 0.2500 0.5039 0.7055
Bi 0.7500 0.4961 0.2945
Bi 0.2500 0.0039 0.2945
Bi 0.7500 0.9961 0.7055

Output
Mass density (g cm⁻³): 7.336
Formation energy from the elements (meV per atom): -339
E (eV per atom): -3.887


(4)
DFT (PBE-GGA) results for NaIr2RhO8 after structural relaxation.

Unit cell a=5.5792 b=5.5792 c=6.0943 alpha=90.00 beta=90.00 gamma=120.00
Element x y z (fractional)
Na 0.0000 0.0000 0.5000
Ir 0.6667 0.3333 0.0539
Ir 0.3333 0.6667 0.9461
Rh 0.0000 0.0000 0.0000
O 0.9303 0.6350 0.8625
O 0.3650 0.2953 0.8625
O 0.7047 0.0697 0.8625
O 0.0697 0.3650 0.1375
O 0.6350 0.7047 0.1375
O 0.2953 0.9303 0.1375
O 0.6667 0.3333 0.3473
O 0.3333 0.6667 0.6527

Output
Raw formation energy (eV per atom): -0.567
Mass density (g cm⁻³): 6.452
E (eV per atom): -6.071


(5)
DFT (PBE-GGA) results for K3CdNi2Cl9 after structural relaxation.

Unit cell a=6.9588 b=6.9588 c=8.5604 alpha=90.00 beta=90.00 gamma=120.00
Element x y z (fractional)
K 0.3333 0.6667 0.6718
K 0.0000 0.0000 0.0000
K 0.6667 0.3333 0.3282
Cd 0.0000 0.0000 0.5000
Ni 0.3333 0.6667 0.1527
Ni 0.6667 0.3333 0.8473
Cl 0.8258 0.1742 0.6833
Cl 0.8258 0.6516 0.6833
Cl 0.3484 0.1742 0.6833
Cl 0.6516 0.8258 0.3167
Cl 0.1742 0.3484 0.3167
Cl 0.1742 0.8258 0.3167
Cl 0.5000 0.0000 0.0000
Cl 0.0000 0.5000 0.0000
Cl 0.5000 0.5000 0.0000

Output
Raw formation energy (eV per atom): -1.162
Mass density (g cm⁻³): 3.081
E (eV per atom): -3.321


(6)
DFT (PBE-GGA) results for SnH2I3 after structural relaxation.

Unit cell a=14.7689 b=14.7689 c=7.5925 alpha=32.07 beta=32.07 gamma=51.81
Element x y z (fractional)
Sn 0.9204 0.0796 0.7500
Sn 0.0796 0.9204 0.2500
H 0.1286 0.6686 0.5162
H 0.6686 0.1286 0.0162
H 0.3314 0.8714 0.9838
H 0.8714 0.3314 0.4838
I 0.3509 0.6491 0.2500
I 0.6491 0.3509 0.7500
I 0.8877 0.7181 0.2451
I 0.2819 0.1123 0.2549
I 0.7181 0.8877 0.7451
I 0.1123 0.2819 0.7549

Output
Mass density (g cm⁻³): 3.812
E (eV per atom): -2.414